A plane-wave DFT calculation with PBE with a Hubbard U was carried out for a relaxed structure of TaCrPtF2.

Values from the calculation:
For the energy, the calculation gives -5.54 eV per atom. Its density of states at the Fermi level is 3.11 states/eV/cell.

abc: 4.2489 4.2489 5.1752
angles: 90.00 90.00 90.00
With the nearest neighbours (Å) after each atom.
Space group P4/mmm (No. 123)
Asymmetric unit:
Ta (0.0000, 0.0000, 0.0000) [1 per cell]  2 Pt 2.59
Cr (0.5000, 0.5000, 0.0000) [1 per cell]  4 Ta 3.00, 8 F 3.35
Pt (0.0000, 0.0000, 0.5000) [1 per cell]  4 F 2.12
F (0.0000, 0.5000, 0.5000) [2 per cell]  2 Pt 2.12